16
Lattice="2.174 -7.162 0.000 2.174 7.162 0.000 0.000 0.000 14.732" Properties=species:S:1:pos:R:3 comment="PBE SrAgPb2Se4, relaxed" final_energy_ev_per_cell=-63.3 crystal_system=orthorhombic mass_density_g_cm3=6.701 space_group="Cmcm, No. 63" pbc="T T T"
Sr 2.174 5.502 11.049
Sr 2.174 -5.502 3.683
Ag 2.174 5.053 3.683
Ag 2.174 -5.053 11.049
Pb 2.174 1.885 8.205
Pb 2.174 1.885 13.892
Pb 2.174 -1.885 0.839
Pb 2.174 -1.885 6.526
Se 0.000 0.000 0.000
Se 0.000 0.000 7.366
Se 2.174 3.140 1.836
Se 2.174 3.140 5.529
Se 2.174 0.619 11.049
Se 2.174 -0.619 3.683
Se 2.174 -3.140 9.202
Se 2.174 -3.140 12.895

=====

8
Lattice="7.281 0.000 0.000 0.000 4.237 0.000 -2.495 0.000 7.042" Properties=species:S:1:pos:R:3 comment="PBE TbAgPb2Se4, relaxed" final_energy_ev_per_cell=-35.5 crystal_system=monoclinic mass_density_g_cm3=7.620 space_group="P2/m, No. 10" pbc="T T T"
Tb 0.000 0.000 0.000
Ag 3.641 2.119 0.000
Pb -1.248 2.119 3.521
Pb 2.393 0.000 3.521
Se 1.159 2.119 1.627
Se -0.065 0.000 5.445
Se 4.851 0.000 1.597
Se 3.628 2.119 5.415

=====

12
Lattice="8.495 0.000 0.000 0.000 4.165 0.000 -2.205 0.000 9.032" Properties=species:S:1:pos:R:3 comment="PBE TbAgPbSe3, relaxed" final_energy_ev_per_cell=-55.0 crystal_system=monoclinic mass_density_g_cm3=7.388 space_group="P2_1/m, No. 11" pbc="T T T"
Tb 1.122 1.041 1.522
Tb 5.168 3.124 7.510
Ag 2.570 3.124 3.738
Ag 3.719 1.041 5.294
Pb 0.913 3.124 6.861
Pb 5.376 1.041 2.171
Se -1.306 1.041 7.638
Se 0.966 1.041 4.417
Se 3.114 3.124 1.134
Se 3.175 1.041 7.898
Se 5.323 3.124 4.615
Se 7.595 3.124 1.395

=====

5
Lattice="5.258 0.000 0.000 0.000 5.258 0.000 0.000 0.000 4.567" Properties=species:S:1:pos:R:3 comment="PBE TcAg2PbSe, relaxed" final_energy_ev_per_cell=-20.5 crystal_system=tetragonal mass_density_g_cm3=7.890 space_group="P4/mmm, No. 123" pbc="T T T"
Tc 0.000 0.000 0.000
Ag 0.000 2.629 0.000
Ag 2.629 0.000 0.000
Pb 2.629 2.629 2.284
Se 0.000 0.000 2.284

=====

16
Lattice="5.866 -5.884 0.000 5.866 5.884 0.000 -5.673 0.000 6.358" Properties=species:S:1:pos:R:3 comment="PBE AgTePb2Se4, relaxed" final_energy_ev_per_cell=-58.4 crystal_system=monoclinic mass_density_g_cm3=7.308 space_group="C2/c, No. 15" pbc="T T T"
Ag 0.000 0.000 0.000
Ag -2.837 0.000 3.179
Te 2.933 2.942 0.000
Te 0.096 -2.942 3.179
Pb 0.096 2.942 3.179
Pb 2.933 -2.942 0.000
Pb 5.866 0.000 0.000
Pb 3.029 0.000 3.179
Se 0.056 3.076 6.227
Se 2.779 0.102 0.058
Se -0.058 -0.102 3.237
Se 3.166 3.076 3.310
Se 2.892 -3.076 3.048
Se 6.116 0.102 3.121
Se 3.279 -0.102 6.301
Se 6.003 -3.076 0.131

=====

10
Lattice="7.490 0.000 0.000 0.000 5.544 0.000 -2.847 0.000 7.695" Properties=species:S:1:pos:R:3 comment="PBE TlAgPbSe2, relaxed" final_energy_ev_per_cell=-34.7 crystal_system=monoclinic mass_density_g_cm3=7.041 space_group="P2/c, No. 13" pbc="T T T"
Tl -0.712 1.047 1.924
Tl -2.135 4.496 5.771
Ag 3.745 0.000 0.000
Ag 2.321 0.000 3.848
Pb 1.609 2.353 5.771
Pb 3.033 3.190 1.924
Se -1.021 1.601 7.545
Se 0.403 3.942 3.697
Se 4.240 1.601 3.998
Se 5.663 3.942 0.151

=====

8
Lattice="7.270 0.000 0.000 0.000 4.206 0.000 -2.457 0.000 6.996" Properties=species:S:1:pos:R:3 comment="PBE TmAgPb2Se4, relaxed" final_energy_ev_per_cell=-35.3 crystal_system=monoclinic mass_density_g_cm3=7.817 space_group="P2/m, No. 10" pbc="T T T"
Tm 0.000 0.000 0.000
Ag 3.635 2.103 0.000
Pb -1.229 2.103 3.498
Pb 2.406 0.000 3.498
Se 1.152 2.103 1.587
Se -0.060 0.000 5.427
Se 4.872 0.000 1.569
Se 3.660 2.103 5.408

=====

8
Lattice="6.915 0.000 0.000 0.000 4.144 0.000 -2.442 0.000 6.810" Properties=species:S:1:pos:R:3 comment="PBE TmAg2PbSe4, relaxed" final_energy_ev_per_cell=-33.3 crystal_system=monoclinic mass_density_g_cm3=7.724 space_group="P2/m, No. 10" pbc="T T T"
Tm 0.000 0.000 0.000
Ag 2.236 0.000 3.405
Ag 3.458 2.072 0.000
Pb -1.221 2.072 3.405
Se 1.155 2.072 1.615
Se -0.052 0.000 5.208
Se 4.525 0.000 1.601
Se 3.318 2.072 5.194